Entry 1:
Computed, not measured: a geometry-optimized Dy3MgTl4 structure at the PBE level of DFT.

POSCAR file:
```
Dy3MgTl4
1.0
-1.740 4.817 6.688
1.740 -4.817 6.688
1.740 4.817 -6.688
Dy Mg Tl
3 1 4
Direct
0.000 0.000 0.000
0.277 0.777 0.500
0.723 0.223 0.500
0.500 0.500 0.000
0.120 0.375 0.745
0.370 0.625 0.745
0.630 0.375 0.255
0.880 0.625 0.255
```

## Properties
magnetization	0.00	μB per formula unit
formation energy from the elements	-0.17	eV/atom
VASP energy	-0.121	Ha/atom

Entry 2:
Computed, not measured: a geometry-optimized Dy12Mg2Tl5 structure at the PBE level of DFT.

POSCAR file:
```
Dy12Mg2Tl5
1.0
6.788 -4.828 0.000
6.788 4.828 0.000
-0.806 0.000 8.464
Dy Mg Tl
12 2 5
Direct
0.082 0.082 0.184
0.090 0.679 0.133
0.174 0.535 0.709
0.321 0.910 0.867
0.406 0.406 0.359
0.465 0.826 0.291
0.535 0.174 0.709
0.594 0.594 0.641
0.679 0.090 0.133
0.826 0.465 0.291
0.910 0.321 0.867
0.918 0.918 0.816
0.171 0.829 0.500
0.829 0.171 0.500
0.184 0.184 0.536
0.275 0.275 0.023
0.500 0.500 0.000
0.725 0.725 0.977
0.816 0.816 0.464
```

## Properties
magnetization	0.00	μB per formula unit
formation energy from the elements	-0.08	eV/atom
VASP energy	-0.139	Ha/atom

Entry 3:
Computed, not measured: a geometry-optimized Dy4Mg2Tl structure at the PBE level of DFT.

POSCAR file:
```
Dy4Mg2Tl
1.0
2.557 1.477 9.844
-2.557 1.477 9.844
0.000 -2.953 9.844
Dy Mg Tl
4 2 1
Direct
0.124 0.124 0.124
0.299 0.299 0.299
0.701 0.701 0.701
0.876 0.876 0.876
0.406 0.406 0.406
0.594 0.594 0.594
0.500 0.500 0.500
```

## Properties
magnetization	0.00	μB per formula unit
formation energy from the elements	0.23	eV/atom
VASP energy	-0.117	Ha/atom

What did the second record say?
Computed, not measured: a geometry-optimized Dy12Mg2Tl5 structure at the PBE level of DFT.

POSCAR file:
```
Dy12Mg2Tl5
1.0
6.788 -4.828 0.000
6.788 4.828 0.000
-0.806 0.000 8.464
Dy Mg Tl
12 2 5
Direct
0.082 0.082 0.184
0.090 0.679 0.133
0.174 0.535 0.709
0.321 0.910 0.867
0.406 0.406 0.359
0.465 0.826 0.291
0.535 0.174 0.709
0.594 0.594 0.641
0.679 0.090 0.133
0.826 0.465 0.291
0.910 0.321 0.867
0.918 0.918 0.816
0.171 0.829 0.500
0.829 0.171 0.500
0.184 0.184 0.536
0.275 0.275 0.023
0.500 0.500 0.000
0.725 0.725 0.977
0.816 0.816 0.464
```

## Properties
magnetization	0.00	μB per formula unit
formation energy from the elements	-0.08	eV/atom
VASP energy	-0.139	Ha/atom

Among the records above, which one has the highest VASP energy?
Dy4Mg2Tl

Which of these has the highest formation energy from the elements?
Dy4Mg2Tl